Entry from Alexandria: an optimized crystal structure of Fe2Ir2Os (PBE).

Summary:
- Fermi-level density of states: 12.4 states/eV per cell
- DFT total energy: -8.860 eV/atom
- Formation enthalpy at 0 K: 0.3158 eV per atom
- E above lowest polymorph: 0.051 eV per atom

a = 7.133 Å, b = 7.133 Å, c = 2.710 Å
α = 90.00°, β = 90.00°, γ = 90.00°
Atoms (fractional coordinates):
Fe (0.169, 0.331, 0.000)
Fe (0.331, 0.831, 0.000)
Fe (0.669, 0.169, 0.000)
Fe (0.831, 0.669, 0.000)
Ir (0.130, 0.630, 0.500)
Ir (0.370, 0.130, 0.500)
Ir (0.630, 0.870, 0.500)
Ir (0.870, 0.370, 0.500)
Os (0.000, 0.000, 0.500)
Os (0.500, 0.500, 0.500)